[1]
Material: CeHoMgTi
Method: DFT, GGA-PBE
State: relaxed

For the total magnetization, the calculation gives 0.6000 μB per atom. The volume comes out at 406.6 Å³ per cell. As for the energy of formation: 0.157 eV/atom.

It has space group F-43m (No. 216), with a = 7.408 Å, b = 7.408 Å, c = 7.408 Å, α = 90.00°, β = 90.00° and γ = 90.00°. The inequivalent atoms are Ce at (0.000, 0.000, 0.000), Ho at (0.000, 0.000, 0.500), Mg at (0.250, 0.250, 0.250) and Ti at (0.250, 0.250, 0.750).

=====

[2]
Material: CeHoMg2Tl2
Method: DFT, GGA-PBE
State: relaxed

For the total magnetization, the calculation gives 0.1402 μB per atom. The volume comes out at 156.8 Å³ per cell. As for the energy of formation: -0.231 eV/atom.

It has space group P-3m1 (No. 164), with a = 4.9778 Å, b = 4.9778 Å, c = 7.3087 Å, α = 90.00°, β = 90.00° and γ = 120.00°. The inequivalent atoms are Ce at (0.0000, 0.0000, 0.0000), Ho at (0.0000, 0.0000, 0.5000), Mg at (0.3333, 0.6667, 0.7335) and Tl at (0.3333, 0.6667, 0.2483).

=====

[3]
Material: Ce2HoMgTl4
Method: DFT, GGA-PBE
State: relaxed

For the total magnetization, the calculation gives 0.2474 μB per atom. The volume comes out at 664.9 Å³ per cell. As for the energy of formation: -0.248 eV/atom.

It has space group R-3m (No. 166, hexagonal axes), with a = 5.3287 Å, b = 5.3287 Å, c = 27.0399 Å, α = 90.00°, β = 90.00° and γ = 120.00°. The inequivalent atoms are Ce at (0.0000, 0.0000, 0.2430), Ho at (0.0000, 0.0000, 0.0000), Mg at (0.0000, 0.0000, 0.5000), Tl at (0.0000, 0.0000, 0.1235) and Tl at (0.0000, 0.0000, 0.3742).

=====

[4]
Material: CeHoMgZn
Method: DFT, GGA-PBE
State: relaxed

For the total magnetization, the calculation gives 0.2220 μB per atom. The volume comes out at 401.1 Å³ per cell. As for the energy of formation: -0.093 eV/atom.

It has space group F-43m (No. 216), with a = 7.375 Å, b = 7.375 Å, c = 7.375 Å, α = 90.00°, β = 90.00° and γ = 90.00°. The inequivalent atoms are Ce at (0.000, 0.000, 0.000), Ho at (0.000, 0.000, 0.500), Mg at (0.250, 0.250, 0.250) and Zn at (0.250, 0.250, 0.750).

=====

[5]
Material: CeHoMgZr
Method: DFT, GGA-PBE
State: relaxed

For the total magnetization, the calculation gives 0.2208 μB per atom. The volume comes out at 422.2 Å³ per cell. As for the energy of formation: 0.132 eV/atom.

It has space group F-43m (No. 216), with a = 7.502 Å, b = 7.502 Å, c = 7.502 Å, α = 90.00°, β = 90.00° and γ = 90.00°. The inequivalent atoms are Ce at (0.000, 0.000, 0.000), Ho at (0.000, 0.000, 0.500), Mg at (0.250, 0.250, 0.250) and Zr at (0.250, 0.250, 0.750).

=====

[6]
Material: Ce2HoMn
Method: DFT, GGA-PBE
State: relaxed

For the total magnetization, the calculation gives 0.0001 μB per atom. The volume comes out at 306.3 Å³ per cell. As for the energy of formation: 0.251 eV/atom.

It has space group R-3m (No. 166, hexagonal axes), with a = 3.6511 Å, b = 3.6511 Å, c = 26.5349 Å, α = 90.00°, β = 90.00° and γ = 120.00°. The inequivalent atoms are Ce at (0.0000, 0.0000, 0.2252), Ho at (0.0000, 0.0000, 0.0000) and Mn at (0.0000, 0.0000, 0.5000).

=====

[7]
Material: Ce2HoMn
Method: DFT, GGA-PBE
State: relaxed

For the total magnetization, the calculation gives 0.2136 μB per atom. The volume comes out at 100.8 Å³ per cell. As for the energy of formation: 0.203 eV/atom.

It has space group P4/mmm (No. 123), with a = 3.464 Å, b = 3.464 Å, c = 8.400 Å, α = 90.00°, β = 90.00° and γ = 90.00°. The inequivalent atoms are Ce at (0.000, 0.000, 0.201), Ho at (0.500, 0.500, 0.500) and Mn at (0.500, 0.500, 0.000).

=====

[8]
Material: Ce2HoMn
Method: DFT, GGA-PBE
State: relaxed

For the total magnetization, the calculation gives 0.2983 μB per atom. The volume comes out at 315.0 Å³ per cell. As for the energy of formation: 0.215 eV/atom.

It has space group R3m (No. 160, hexagonal axes), with a = 3.8017 Å, b = 3.8017 Å, c = 25.1690 Å, α = 90.00°, β = 90.00° and γ = 120.00°. The inequivalent atoms are Ce at (0.0000, 0.0000, 0.0000), Ce at (0.0000, 0.0000, 0.2226), Ho at (0.0000, 0.0000, 0.7744) and Mn at (0.0000, 0.0000, 0.6366).

=====

[9]
Material: Ce3HoMn
Method: DFT, GGA-PBE
State: relaxed

For the total magnetization, the calculation gives 0.0011 μB per atom. The volume comes out at 137.0 Å³ per cell. As for the energy of formation: 0.159 eV/atom.

It has space group Pm-3m (No. 221), with a = 5.155 Å, b = 5.155 Å, c = 5.155 Å, α = 90.00°, β = 90.00° and γ = 90.00°. The inequivalent atoms are Ce at (0.000, 0.000, 0.500), Ho at (0.500, 0.500, 0.500) and Mn at (0.000, 0.000, 0.000).

=====

[10]
Material: CeHo2Mn
Method: DFT, GGA-PBE
State: relaxed

For the total magnetization, the calculation gives 1.1192 μB per atom. The volume comes out at 104.9 Å³ per cell. As for the energy of formation: 0.155 eV/atom.

It has space group P4/mmm (No. 123), with a = 3.455 Å, b = 3.455 Å, c = 8.782 Å, α = 90.00°, β = 90.00° and γ = 90.00°. The inequivalent atoms are Ce at (0.000, 0.000, 0.000), Ho at (0.500, 0.500, 0.302) and Mn at (0.000, 0.000, 0.500).

=====

[11]
Material: CeHoMn
Method: DFT, GGA-PBE
State: relaxed

For the total magnetization, the calculation gives 0.0000 μB per atom. The volume comes out at 138.1 Å³ per cell. As for the energy of formation: 0.177 eV/atom.

It has space group I4mm (No. 107), with a = 3.302 Å, b = 3.302 Å, c = 12.667 Å, α = 90.00°, β = 90.00° and γ = 90.00°. The inequivalent atoms are Ce at (0.000, 0.000, 0.000), Ho at (0.000, 0.000, 0.257) and Mn at (0.000, 0.000, 0.618).

=====

[12]
Material: CeHo2Mn
Method: DFT, GGA-PBE
State: relaxed

For the total magnetization, the calculation gives 0.5881 μB per atom. The volume comes out at 105.2 Å³ per cell. As for the energy of formation: 0.255 eV/atom.

It has space group P4/mmm (No. 123), with a = 4.696 Å, b = 4.696 Å, c = 4.770 Å, α = 90.00°, β = 90.00° and γ = 90.00°. The inequivalent atoms are Ce at (0.000, 0.000, 0.000), Ho at (0.000, 0.500, 0.500) and Mn at (0.500, 0.500, 0.000).